# Hf2Sc4Zn3C3

A relaxed structure of Hf2Sc4Zn3C3 (PBE, the Open Quantum Materials Database).

a b c (Å): 9.856 5.697 14.923
angles (deg): 90.00 102.47 90.00
Space group C2/c (No. 15)
One atom of each set of equivalent atoms:
1 Hf 0.060 0.086 0.418 (multiplicity 8)
2 Sc 0.112 0.423 0.589 (multiplicity 8)
3 Sc 0.218 0.413 0.911 (multiplicity 8)
4 Zn 0.000 0.378 0.250 (multiplicity 4)
5 Zn 0.147 0.065 0.751 (multiplicity 8)
6 C 0.080 0.241 0.000 (multiplicity 8)
7 C 0.250 0.250 0.500 (multiplicity 4)

Summary:
Energy in eV/atom: -6.8292
Size of the total moment in μB per formula unit: 0.790

# Hf4SnC2Se

A relaxed structure of Hf4SnC2Se (PBE, the Open Quantum Materials Database).

a b c (Å): 3.3890 3.3890 13.4784
angles (deg): 90.00 90.00 120.00
Space group P-6m2 (No. 187)
One atom of each set of equivalent atoms:
1 Hf 0.0000 0.0000 0.1441 (multiplicity 2)
2 Hf 0.6667 0.3333 0.3227 (multiplicity 2)
3 Sn 0.0000 0.0000 0.5000 (multiplicity 1)
4 C 0.3333 0.6667 0.2337 (multiplicity 2)
5 Se 0.6667 0.3333 0.0000 (multiplicity 1)

Summary:
Energy in eV/atom: -9.1876
Size of the total moment in μB per formula unit: 0.002

# TbHfCSe

A relaxed structure of TbHfCSe (PBE, the Open Quantum Materials Database).

a b c (Å): 3.5734 3.5734 13.0247
angles (deg): 90.00 90.00 120.00
Space group P-6m2 (No. 187)
One atom of each set of equivalent atoms:
1 Tb 0.0000 0.0000 0.1562 (multiplicity 2)
2 Hf 0.3333 0.6667 0.3528 (multiplicity 2)
3 C 0.6667 0.3333 0.2726 (multiplicity 2)
4 Se 0.0000 0.0000 0.5000 (multiplicity 1)
5 Se 0.3333 0.6667 0.0000 (multiplicity 1)

Summary:
Energy in eV/atom: -7.9489
Size of the total moment in μB per formula unit: 0.003
Energy above the lowest structure with this stoichiometry in eV/atom: 0.020

# TbHfCSe

A relaxed structure of TbHfCSe (PBE, the Open Quantum Materials Database).

a b c (Å): 3.5647 3.5647 13.0560
angles (deg): 90.00 90.00 120.00
Space group P6_3mc (No. 186)
One atom of each set of equivalent atoms:
1 Tb 0.3333 0.6667 0.0000 (multiplicity 2)
2 Hf 0.3333 0.6667 0.3040 (multiplicity 2)
3 C 0.0000 0.0000 0.3870 (multiplicity 2)
4 Se 0.3333 0.6667 0.6612 (multiplicity 2)

Summary:
Energy in eV/atom: -7.9689
Size of the total moment in μB per formula unit: 0.002
Energy above the lowest structure with this stoichiometry in eV/atom: 0.000

# Tb3HfC2Se2

A relaxed structure of Tb3HfC2Se2 (PBE, the Open Quantum Materials Database).

a b c (Å): 3.6719 3.6719 13.2184
angles (deg): 90.00 90.00 120.00
Space group P3m1 (No. 156)
One atom of each set of equivalent atoms:
1 Tb 0.0000 0.0000 0.0000 (multiplicity 1)
2 Tb 0.0000 0.0000 0.3043 (multiplicity 1)
3 Tb 0.3333 0.6667 0.5088 (multiplicity 1)
4 Hf 0.3333 0.6667 0.8075 (multiplicity 1)
5 C 0.6667 0.3333 0.4090 (multiplicity 1)
6 C 0.6667 0.3333 0.8877 (multiplicity 1)
7 Se 0.0000 0.0000 0.6696 (multiplicity 1)
8 Se 0.3333 0.6667 0.1501 (multiplicity 1)

Summary:
Energy in eV/atom: -7.2765
Size of the total moment in μB per formula unit: 0.003

# TbHfCSe

A relaxed structure of TbHfCSe (PBE, the Open Quantum Materials Database).

a b c (Å): 3.5807 3.5807 13.0293
angles (deg): 90.00 90.00 120.00
Space group P-3m1 (No. 164)
One atom of each set of equivalent atoms:
1 Tb 0.3333 0.6667 0.3958 (multiplicity 2)
2 Hf 0.3333 0.6667 0.0895 (multiplicity 2)
3 C 0.0000 0.0000 0.0000 (multiplicity 1)
4 C 0.0000 0.0000 0.5000 (multiplicity 1)
5 Se 0.3333 0.6667 0.7693 (multiplicity 2)

Summary:
Energy in eV/atom: -7.9315
Size of the total moment in μB per formula unit: 0.000
Energy above the lowest structure with this stoichiometry in eV/atom: 0.037

# Hf4TlC2Se

A relaxed structure of Hf4TlC2Se (PBE, the Open Quantum Materials Database).

a b c (Å): 3.3905 3.3905 13.6446
angles (deg): 90.00 90.00 120.00
Space group P-6m2 (No. 187)
One atom of each set of equivalent atoms:
1 Hf 0.0000 0.0000 0.1427 (multiplicity 2)
2 Hf 0.6667 0.3333 0.3182 (multiplicity 2)
3 Tl 0.0000 0.0000 0.5000 (multiplicity 1)
4 C 0.3333 0.6667 0.2315 (multiplicity 2)
5 Se 0.6667 0.3333 0.0000 (multiplicity 1)

Summary:
Energy in eV/atom: -8.9155
Size of the total moment in μB per formula unit: 0.003

# YHfCSe

A relaxed structure of YHfCSe (PBE, the Open Quantum Materials Database).

a b c (Å): 3.5625 3.5625 13.0015
angles (deg): 90.00 90.00 120.00
Space group P6_3mc (No. 186)
One atom of each set of equivalent atoms:
1 Y 0.3333 0.6667 0.0000 (multiplicity 2)
2 Hf 0.3333 0.6667 0.3042 (multiplicity 2)
3 C 0.0000 0.0000 0.3875 (multiplicity 2)
4 Se 0.3333 0.6667 0.6605 (multiplicity 2)

Summary:
Energy in eV/atom: -8.4344
Size of the total moment in μB per formula unit: 0.004
Energy above the lowest structure with this stoichiometry in eV/atom: 0.000

> Look up the energy of the first one.

-6.8292 eV/atom

> Which of these has the highest size of the total moment?

Hf2Sc4Zn3C3